Compound: Ba2NpV3O12
Source: Alexandria
Functional: PBE with a Hubbard U
Structure: optimized geometry

Cell: 7.287 7.287 7.287 Å, 57.82 57.82 57.82°
Positions (direct):
Ba 0.115 0.115 0.115
Ba 0.885 0.885 0.885
Np 0.500 0.500 0.500
V 0.000 0.500 0.500
V 0.500 0.000 0.500
V 0.500 0.500 0.000
O 0.148 0.588 0.588
O 0.194 0.194 0.578
O 0.194 0.578 0.194
O 0.412 0.412 0.852
O 0.412 0.852 0.412
O 0.422 0.806 0.806
O 0.578 0.194 0.194
O 0.588 0.148 0.588
O 0.588 0.588 0.148
O 0.806 0.422 0.806
O 0.806 0.806 0.422
O 0.852 0.412 0.412

## Properties
Its total energy is -139.66 eV per cell. Its symmetry is R-3m.